Density functional theory data (GGA-PBE) for Ac3PrSn6 after structural relaxation.

Values from the calculation:
As for the theoretical density: 7.71 g cm⁻³. The volume is 33.04 A^3/atom. As for the formation energy: -0.62 eV per atom. The value obtained for the density of states at the Fermi level is 7.0 states/eV/f.u. The size of the total moment is 0.00 μB/f.u. Its total DFT energy (no corrections) is -284.16 eV per cell.

Lattice parameters (Å, degrees): 13.2007 13.2007 13.1372 90.00 90.00 120.00
Space group R-3c (No. 167, hexagonal axes)
Inequivalent atoms, fractional coordinates:
Ac (0.0000, 0.4327, 0.2500) x18
Pr (0.0000, 0.0000, 0.0000) x6
Sn (0.0681, 0.2129, 0.3436) x36